## BaCa6 (PBE-GGA)

Data for BaCa6 after structural relaxation.

Lattice parameters (Å, degrees): 5.947 5.947 9.688 90.00 90.00 90.00
Space group P4/mmm (No. 123)
Inequivalent atoms, fractional coordinates:
Ba 0.000 0.000 0.000 [1 per cell]
Ca 0.000 0.000 0.500 [1 per cell]
Ca 0.000 0.500 0.278 [4 per cell]
Ca 0.500 0.500 0.000 [1 per cell]

## Properties
- Electronic total energy: -1.82 eV per atom
- Calculated formation energy: 0.173 eV per atom